An optimized crystal structure of UVCu4. Source: Alexandria, functional GGA-PBE.

```
UVCu4
1.0
-4.122 2.505 1.252
-2.171 -0.819 4.410
0.187 3.487 3.555
U Cu V
1 4 1
direct
0.000 0.000 0.000
0.624 0.624 0.127
0.624 0.127 0.624
0.624 0.624 0.624
0.127 0.624 0.624
0.250 0.250 0.250
```

Its volume is 87.5 Å³/f.u. Its space group is No. 216. As for the total moment: 2.64 μB per formula unit. The crystal system is cubic. Its formation energy is 189.0 meV/atom. The density of states at the Fermi level comes out at 7.50 states/eV/f.u.